(P)
The following is a PBE-GGA calculation of a geometry-optimized HgMoW structure, from Alexandria.

Cell lengths 4.6441, 4.6441, 2.7884 Å; angles 90.00, 90.00, 120.00 degrees
Element x y z (fractional)
Hg  0.0000  0.0000  0.9943
Mo  0.3333  0.6667  0.3825
W  0.6667  0.3333  0.6232

Symmetry = P3m1
Total magnetic moment = 0.000 μB/f.u.

=====

(Q)
The following is a PBE-GGA calculation of a geometry-optimized HgMoW structure, from Alexandria.

Cell lengths 7.1907, 7.1907, 7.1907 Å; angles 157.91, 157.91, 31.44 degrees
Element x y z (fractional)
Hg  0.9997  0.9997  0.0000
Mo  0.3304  0.3304  0.0000
W  0.6700  0.6700  0.0000

Symmetry = I4mm
Total magnetic moment = 0.000 μB/f.u.

=====

(P) is preferred energetically. Next in line: 9.9 kJ/mol of atoms higher.

=====

(P)
The following is a PBE-GGA calculation of a geometry-optimized HgMoW structure, from Alexandria.

Cell lengths 7.4939, 7.3016, 2.8408 Å; angles 82.76, 75.15, 22.09 degrees
Element x y z (fractional)
Hg  0.9994  0.9994  0.0006
Mo  0.3218  0.3218  0.6782
W  0.6788  0.6788  0.3212

Symmetry = Fmm2
Total magnetic moment = 0.000 μB/f.u.

=====

(Q)
The following is a PBE-GGA calculation of a geometry-optimized HgMoW structure, from Alexandria.

Cell lengths 5.3116, 5.3116, 5.3116 Å; angles 143.30, 143.30, 52.87 degrees
Element x y z (fractional)
Hg  0.0001  0.0001  0.0000
Mo  0.3133  0.3133  0.0000
W  0.6866  0.6866  0.0000

Symmetry = I4mm
Total magnetic moment = 0.000 μB/f.u.

=====

(R)
The following is a PBE-GGA calculation of a geometry-optimized HgMoW structure, from Alexandria.

Cell lengths 4.4455, 4.4455, 4.4455 Å; angles 60.00, 60.00, 60.00 degrees
Element x y z (fractional)
Hg  0.5000  0.5000  0.5000
Mo  0.7500  0.7500  0.7500
W  0.0000  0.0000  0.0000

Symmetry = F-43m
Total magnetic moment = 0.000 μB/f.u.

=====

(P) is preferred energetically. Next in line: 2.3 kJ/mol of atoms higher.

=====

(P)
The following is a PBE-GGA calculation of a geometry-optimized HgMoW3 structure, from Alexandria.

Cell lengths 4.7588, 4.7588, 4.7588 Å; angles 90.00, 90.00, 90.00 degrees
Element x y z (fractional)
Mo  0.0000  0.0000  0.0000
Hg  0.5000  0.5000  0.5000
W  0.0000  0.5000  0.0000
W  0.0000  0.0000  0.5000
W  0.5000  0.0000  0.0000

Symmetry = Pm-3m
Total magnetic moment = 0.000 μB/f.u.

=====

(Q)
The following is a PBE-GGA calculation of a geometry-optimized HgMoW3 structure, from Alexandria.

Cell lengths 4.8327, 4.8327, 4.8327 Å; angles 90.00, 90.00, 90.00 degrees
Element x y z (fractional)
Mo  0.5000  0.5000  0.5000
Hg  0.0000  0.0000  0.0000
W  0.0000  0.5000  0.0000
W  0.0000  0.0000  0.5000
W  0.5000  0.0000  0.0000

Symmetry = Pm-3m
Total magnetic moment = 0.009 μB/f.u.

=====

(P) is preferred energetically. Next in line: 119.3 kJ/mol of atoms higher.

=====

(P)
The following is a PBE-GGA calculation of a geometry-optimized YHg2Mo structure, from Alexandria.

Cell lengths 10.2223, 10.2223, 10.2223 Å; angles 17.75, 17.75, 17.75 degrees
Element x y z (fractional)
Hg  0.9940  0.9940  0.9940
Hg  0.5060  0.5060  0.5060
Mo  0.2500  0.2500  0.2500
Y  0.7500  0.7500  0.7500

Symmetry = R-3m
Total magnetic moment = 0.074 μB/f.u.

=====

(Q)
The following is a PBE-GGA calculation of a geometry-optimized YHg2Mo structure, from Alexandria.

Cell lengths 3.7218, 3.7218, 6.3851 Å; angles 90.00, 90.00, 90.00 degrees
Element x y z (fractional)
Hg  0.0000  0.0000  0.0118
Hg  0.5000  0.5000  0.2688
Mo  0.0000  0.0000  0.4794
Y  0.5000  0.5000  0.7399

Symmetry = P4mm
Total magnetic moment = 1.297 μB/f.u.

=====

(R)
The following is a PBE-GGA calculation of a geometry-optimized YHg2Mo structure, from Alexandria.

Cell lengths 9.5115, 9.5115, 9.5115 Å; angles 20.53, 20.53, 20.53 degrees
Element x y z (fractional)
Hg  0.9983  0.9983  0.9983
Hg  0.2453  0.2453  0.2453
Mo  0.5013  0.5013  0.5013
Y  0.7552  0.7552  0.7552

Symmetry = R3m
Total magnetic moment = 1.074 μB/f.u.

=====

(S)
The following is a PBE-GGA calculation of a geometry-optimized YHg2Mo structure, from Alexandria.

Cell lengths 5.3596, 5.3596, 5.5027 Å; angles 79.55, 79.55, 34.37 degrees
Element x y z (fractional)
Hg  0.0085  0.0085  0.9769
Hg  0.4915  0.4915  0.5231
Mo  0.7500  0.7500  0.7500
Y  0.2500  0.2500  0.2500

Symmetry = C2/m
Total magnetic moment = 0.012 μB/f.u.

=====

(Q) is preferred energetically. Next in line: 1.8 kJ/mol of atoms higher.